Record 1
# NbP2RuCl | Alexandria | PBEsol | relaxed
# calculated density: 5.15 g/cm³
# energy relative to the elements, uncorrected: 741.4 meV per atom
# size of the total moment: 2.6 Bohr magnetons per cell
data_NbP2RuCl
_chemical_formula_sum 'Nb1 P2 Ru1 Cl1'
_cell_length_a 4.4574
_cell_length_b 4.4574
_cell_length_c 4.7256
_cell_angle_alpha 90.00
_cell_angle_beta 90.00
_cell_angle_gamma 90.00
_space_group_name_H-M_alt 'P 4/m m m'
_space_group_IT_number 123
_space_group_name_Hall '-P 4 2'
loop_
_atom_site_label
_atom_site_type_symbol
_atom_site_fract_x
_atom_site_fract_y
_atom_site_fract_z
Nb1 Nb 0.0000 0.0000 0.0000
P1 P 0.0000 0.5000 0.5000
Ru1 Ru 0.5000 0.5000 0.5000
Cl1 Cl 0.5000 0.5000 0.0000

=====

Record 2
# NbP2SCl | Alexandria | PBEsol | relaxed
# calculated density: 3.41 g/cm³
# energy relative to the elements, uncorrected: 208.0 meV per atom
# size of the total moment: 0.0 Bohr magnetons per cell
data_NbP2SCl
_chemical_formula_sum 'Nb1 P2 S1 Cl1'
_cell_length_a 4.8430
_cell_length_b 4.8430
_cell_length_c 4.6197
_cell_angle_alpha 90.00
_cell_angle_beta 90.00
_cell_angle_gamma 90.00
_space_group_name_H-M_alt 'P 4/m m m'
_space_group_IT_number 123
_space_group_name_Hall '-P 4 2'
loop_
_atom_site_label
_atom_site_type_symbol
_atom_site_fract_x
_atom_site_fract_y
_atom_site_fract_z
Nb1 Nb 0.0000 0.0000 0.0000
P1 P 0.0000 0.5000 0.0000
S1 S 0.0000 0.0000 0.5000
Cl1 Cl 0.5000 0.5000 0.5000

=====

Record 3
# NbSnPCl2 | Alexandria | PBEsol | relaxed
# calculated density: 4.10 g/cm³
# energy relative to the elements, uncorrected: 736.4 meV per atom
# size of the total moment: 3.0 Bohr magnetons per cell
data_NbSnPCl2
_chemical_formula_sum 'Nb1 Sn1 P1 Cl2'
_cell_length_a 4.9653
_cell_length_b 4.9653
_cell_length_c 5.1482
_cell_angle_alpha 90.00
_cell_angle_beta 90.00
_cell_angle_gamma 90.00
_space_group_name_H-M_alt 'P 4/m m m'
_space_group_IT_number 123
_space_group_name_Hall '-P 4 2'
loop_
_atom_site_label
_atom_site_type_symbol
_atom_site_fract_x
_atom_site_fract_y
_atom_site_fract_z
Nb1 Nb 0.0000 0.0000 0.0000
Sn1 Sn 0.5000 0.5000 0.5000
P1 P 0.5000 0.5000 0.0000
Cl1 Cl 0.0000 0.5000 0.5000

=====

Record 4
# TiNbP2Cl | Alexandria | PBEsol | relaxed
# calculated density: 4.08 g/cm³
# energy relative to the elements, uncorrected: 300.6 meV per atom
# size of the total moment: 2.2 Bohr magnetons per cell
data_TiNbP2Cl
_chemical_formula_sum 'Ti1 Nb1 P2 Cl1'
_cell_length_a 4.6669
_cell_length_b 4.6669
_cell_length_c 4.4453
_cell_angle_alpha 90.00
_cell_angle_beta 90.00
_cell_angle_gamma 90.00
_space_group_name_H-M_alt 'P 4/m m m'
_space_group_IT_number 123
_space_group_name_Hall '-P 4 2'
loop_
_atom_site_label
_atom_site_type_symbol
_atom_site_fract_x
_atom_site_fract_y
_atom_site_fract_z
Ti1 Ti 0.0000 0.0000 0.0000
Nb1 Nb 0.5000 0.5000 0.5000
P1 P 0.0000 0.5000 0.0000
Cl1 Cl 0.0000 0.0000 0.5000

=====

Record 5
# NbTlP2Cl | Alexandria | PBEsol | relaxed
# calculated density: 5.32 g/cm³
# energy relative to the elements, uncorrected: 1354.4 meV per atom
# size of the total moment: 2.0 Bohr magnetons per cell
data_NbTlP2Cl
_chemical_formula_sum 'Nb1 Tl1 P2 Cl1'
_cell_length_a 4.9276
_cell_length_b 4.9276
_cell_length_c 5.0711
_cell_angle_alpha 90.00
_cell_angle_beta 90.00
_cell_angle_gamma 90.00
_space_group_name_H-M_alt 'P 4/m m m'
_space_group_IT_number 123
_space_group_name_Hall '-P 4 2'
loop_
_atom_site_label
_atom_site_type_symbol
_atom_site_fract_x
_atom_site_fract_y
_atom_site_fract_z
Nb1 Nb 0.0000 0.0000 0.0000
Tl1 Tl 0.5000 0.5000 0.5000
P1 P 0.0000 0.5000 0.5000
Cl1 Cl 0.5000 0.5000 0.0000

=====

Record 6
# Nb2PbCl | Alexandria | PBEsol | relaxed
# calculated density: 9.56 g/cm³
# energy relative to the elements, uncorrected: 398.9 meV per atom
# size of the total moment: 2.6 Bohr magnetons per cell
data_Nb2PbCl
_chemical_formula_sum 'Nb8 Pb4 Cl4'
_cell_length_a 6.6782
_cell_length_b 6.6782
_cell_length_c 6.6782
_cell_angle_alpha 90.00
_cell_angle_beta 90.00
_cell_angle_gamma 90.00
_space_group_name_H-M_alt 'F m -3 m'
_space_group_IT_number 225
_space_group_name_Hall '-F 4 2 3'
loop_
_atom_site_label
_atom_site_type_symbol
_atom_site_fract_x
_atom_site_fract_y
_atom_site_fract_z
Nb1 Nb 0.2500 0.2500 0.2500
Pb1 Pb 0.0000 0.0000 0.0000
Cl1 Cl 0.0000 0.0000 0.5000

=====

Record 7
# Nb3PbCl | Alexandria | PBEsol | relaxed
# calculated density: 9.08 g/cm³
# energy relative to the elements, uncorrected: 475.6 meV per atom
# size of the total moment: 0.0 Bohr magnetons per cell
data_Nb3PbCl
_chemical_formula_sum 'Nb3 Pb1 Cl1'
_cell_length_a 4.5678
_cell_length_b 4.5678
_cell_length_c 4.5678
_cell_angle_alpha 90.00
_cell_angle_beta 90.00
_cell_angle_gamma 90.00
_space_group_name_H-M_alt 'P m -3 m'
_space_group_IT_number 221
_space_group_name_Hall '-P 4 2 3'
loop_
_atom_site_label
_atom_site_type_symbol
_atom_site_fract_x
_atom_site_fract_y
_atom_site_fract_z
Nb1 Nb 0.0000 0.0000 0.5000
Pb1 Pb 0.5000 0.5000 0.5000
Cl1 Cl 0.0000 0.0000 0.0000

=====

Record 8
# Nb2RePdCl | Alexandria | PBEsol | relaxed
# calculated density: 9.98 g/cm³
# energy relative to the elements, uncorrected: 894.9 meV per atom
# size of the total moment: 0.0 Bohr magnetons per cell
data_Nb2RePdCl
_chemical_formula_sum 'Nb2 Re1 Pd1 Cl1'
_cell_length_a 4.4817
_cell_length_b 4.4817
_cell_length_c 4.2591
_cell_angle_alpha 90.00
_cell_angle_beta 90.00
_cell_angle_gamma 90.00
_space_group_name_H-M_alt 'P 4/m m m'
_space_group_IT_number 123
_space_group_name_Hall '-P 4 2'
loop_
_atom_site_label
_atom_site_type_symbol
_atom_site_fract_x
_atom_site_fract_y
_atom_site_fract_z
Nb1 Nb 0.0000 0.5000 0.0000
Re1 Re 0.0000 0.0000 0.5000
Pd1 Pd 0.5000 0.5000 0.5000
Cl1 Cl 0.5000 0.5000 0.0000